{"formula": "Rb2FeCI6", "functional": "GGA-PBE", "state": "optimized geometry", "volume_a3_per_atom": 34.476, "e_form_raw_kj_per_mol_fu": -71, "dos_at_fermi_per_ev_cell": 4.92, "lattice": [[-0.275, 7.849, 0.487], [-3.278, -0.557, 7.132], [3.282, 3.678, 6.137]], "species": ["I", "I", "I", "I", "I", "I", "C", "Fe", "Rb", "Rb"], "fractional_positions": [[0.254, 0.254, 0.492], [0.746, 0.746, 0.508], [0.255, 0.255, 0.000], [0.745, 0.745, 0.000], [0.745, 0.255, 0.000], [0.255, 0.745, 0.000], [0.500, 0.500, 0.000], [0.000, 0.000, 0.000], [0.750, 0.250, 0.500], [0.250, 0.750, 0.500]]}

***

{"formula": "Fe2ReCI", "functional": "GGA-PBE", "state": "optimized geometry", "volume_a3_per_atom": 17.648, "e_form_raw_kj_per_mol_fu": 1390, "dos_at_fermi_per_ev_cell": 4.52, "lattice": [[-1.294, -3.996, 1.959], [0.860, -1.990, -3.490], [4.343, -0.689, 1.463]], "species": ["I", "Re", "C", "Fe", "Fe"], "fractional_positions": [[0.000, 0.000, 0.000], [0.500, 0.500, 0.500], [0.000, 0.500, 0.000], [0.000, 0.000, 0.500], [0.500, 0.000, 0.000]]}

***

{"formula": "FeSbCI2", "functional": "GGA-PBE", "state": "optimized geometry", "volume_a3_per_atom": 29.337, "e_form_raw_kj_per_mol_fu": 819, "relative_energy_mev_per_atom": 194, "dos_at_fermi_per_ev_cell": 7.37, "lattice": [[-2.755, 4.689, 0.003], [-0.010, -0.002, -5.438], [-4.276, -2.513, 0.009]], "species": ["I", "I", "Sb", "C", "Fe"], "fractional_positions": [[0.000, 0.500, 0.000], [0.500, 0.000, 0.000], [0.000, 0.000, 0.500], [0.500, 0.500, 0.500], [0.000, 0.000, 0.000]]}

***

{"formula": "FeSbCI2", "functional": "GGA-PBE", "state": "optimized geometry", "volume_a3_per_atom": 23.890, "e_form_raw_kj_per_mol_fu": 725, "relative_energy_mev_per_atom": 0, "dos_at_fermi_per_ev_cell": 4.07, "lattice": [[-2.523, -0.018, -4.347], [3.121, -3.507, -1.796], [-2.847, -3.387, 1.667]], "species": ["I", "I", "Sb", "C", "Fe"], "fractional_positions": [[0.000, 0.500, 0.000], [0.500, 0.000, 0.000], [0.000, 0.000, 0.500], [0.000, 0.000, 0.000], [0.500, 0.500, 0.500]]}

***

{"formula": "VFeCI2", "functional": "GGA-PBE", "state": "optimized geometry", "volume_a3_per_atom": 23.601, "e_form_raw_kj_per_mol_fu": 1057, "dos_at_fermi_per_ev_cell": 10.39, "lattice": [[5.278, 0.000, 0.000], [0.000, 4.237, 0.000], [0.000, 0.000, 5.278]], "species": ["I", "I", "C", "Fe", "V"], "fractional_positions": [[0.000, 0.000, 0.500], [0.500, 0.000, 0.000], [0.500, 0.500, 0.500], [0.000, 0.500, 0.000], [0.000, 0.000, 0.000]]}

***

{"formula": "InFeC2", "functional": "GGA-PBE", "state": "optimized geometry", "volume_a3_per_atom": 13.105, "dos_at_fermi_per_ev_cell": 3.05, "lattice": [[-0.593, -2.394, -4.170], [4.808, -0.236, -0.548], [2.170, -5.192, -0.143]], "species": ["C", "C", "C", "C", "Fe", "Fe", "In", "In"], "fractional_positions": [[0.539, 0.125, 0.250], [0.211, 0.625, 0.250], [0.375, 0.461, 0.750], [0.875, 0.789, 0.750], [0.500, 0.500, 0.000], [0.250, 0.750, 0.500], [0.000, 0.000, 0.000], [0.750, 0.250, 0.500]]}

***

{"formula": "InFe2C", "functional": "GGA-PBE", "state": "optimized geometry", "volume_a3_per_atom": 12.015, "dos_at_fermi_per_ev_cell": 5.53, "lattice": [[-2.181, -2.582, -2.287], [-3.587, 1.177, -1.550], [-0.376, 0.647, -4.012]], "species": ["C", "Fe", "Fe", "In"], "fractional_positions": [[0.000, 0.000, 0.000], [0.250, 0.250, 0.250], [0.750, 0.750, 0.750], [0.500, 0.500, 0.500]]}

***

{"formula": "In3FeC", "functional": "GGA-PBE", "state": "optimized geometry", "volume_a3_per_atom": 24.528, "relative_energy_mev_per_atom": 48, "dos_at_fermi_per_ev_cell": 3.38, "lattice": [[-1.763, 1.446, 4.414], [0.542, -4.625, 1.732], [4.613, 1.096, 1.484]], "species": ["C", "Fe", "In", "In", "In"], "fractional_positions": [[0.500, 0.500, 0.500], [0.000, 0.000, 0.000], [0.000, 0.500, 0.000], [0.000, 0.000, 0.500], [0.500, 0.000, 0.000]]}

***

{"formula": "InFe2C", "functional": "GGA-PBE", "state": "optimized geometry", "volume_a3_per_atom": 12.652, "dos_at_fermi_per_ev_cell": 11.50, "lattice": [[-2.960, -5.168, 1.630], [-1.237, -1.163, -5.936], [0.170, -4.530, -2.359]], "species": ["C", "C", "Fe", "Fe", "Fe", "Fe", "In", "In"], "fractional_positions": [[0.500, 0.500, 0.000], [0.250, 0.750, 0.500], [0.512, 0.125, 0.250], [0.238, 0.625, 0.250], [0.375, 0.488, 0.750], [0.875, 0.762, 0.750], [0.000, 0.000, 0.000], [0.750, 0.250, 0.500]]}

***

{"formula": "La2InFeC", "functional": "GGA-PBE", "state": "optimized geometry", "volume_a3_per_atom": 22.451, "dos_at_fermi_per_ev_cell": 3.77, "lattice": [[-5.091, 1.120, -1.664], [-0.176, -4.772, -2.671], [-1.369, -1.667, 3.068]], "species": ["C", "In", "Fe", "La", "La"], "fractional_positions": [[0.000, 0.000, 0.000], [0.500, 0.500, 0.500], [0.000, 0.000, 0.500], [0.000, 0.500, 0.000], [0.500, 0.000, 0.000]]}

***

{"formula": "Li2InFeC", "functional": "GGA-PBE", "state": "optimized geometry", "volume_a3_per_atom": 21.592, "dos_at_fermi_per_ev_cell": 5.80, "lattice": [[5.229, 0.000, 0.000], [0.000, 3.949, 0.000], [0.000, 0.000, 5.229]], "species": ["C", "Li", "Li", "Fe", "In"], "fractional_positions": [[0.000, 0.500, 0.000], [0.000, 0.000, 0.500], [0.500, 0.000, 0.000], [0.500, 0.500, 0.500], [0.000, 0.000, 0.000]]}

***

{"formula": "Mn2InFeC", "functional": "GGA-PBE", "state": "optimized geometry", "volume_a3_per_atom": 12.033, "dos_at_fermi_per_ev_cell": 3.88, "lattice": [[-0.299, -3.306, -2.114], [2.232, -1.887, 2.636], [-3.186, -0.986, 1.992]], "species": ["C", "Mn", "Mn", "Fe", "In"], "fractional_positions": [[0.000, 0.000, 0.000], [0.000, 0.500, 0.000], [0.500, 0.000, 0.000], [0.000, 0.000, 0.500], [0.500, 0.500, 0.500]]}

***

| no. | energy (eV per cell) |
| --- | --- |
| 1 | -29.7 |
| 2 | -25.7 |
| 3 | -16.4 |
| 4 | -17.4 |
| 5 | -19.0 |
| 6 | -51.8 |
| 7 | -22.9 |
| 8 | -18.9 |
| 9 | -54.2 |
| 10 | -31.3 |
| 11 | -16.7 |
| 12 | -38.6 |